# 1
Compound: Y2TiCdO
Source: Alexandria
Functional: PBE
Structure: optimized geometry

It has space group P4/mmm (No. 123), with a = 4.9587 Å, b = 4.9587 Å, c = 4.0749 Å, α = 90.00°, β = 90.00° and γ = 90.00°. Symmetry generates all atoms from Y at (0.0000, 0.5000, 0.0000), Ti at (0.0000, 0.0000, 0.5000), Cd at (0.5000, 0.5000, 0.5000) and O at (0.0000, 0.0000, 0.0000).

Its density is 5.87 Mg/m³. As for the density of states at the Fermi level: 0.70 states/eV/atom. The formation energy (no corrections) is -1215 meV per atom. The crystal system is tetragonal.

---

# 2
Compound: ZrTi2CdO
Source: Alexandria
Functional: PBE
Structure: optimized geometry

It has space group P4/mmm (No. 123), with a = 4.1818 Å, b = 4.1818 Å, c = 4.5757 Å, α = 90.00°, β = 90.00° and γ = 90.00°. Symmetry generates all atoms from Zr at (0.0000, 0.0000, 0.0000), Ti at (0.0000, 0.5000, 0.5000), Cd at (0.5000, 0.5000, 0.0000) and O at (0.0000, 0.0000, 0.5000).

Its density is 6.54 Mg/m³. As for the density of states at the Fermi level: 0.89 states/eV/atom. The formation energy (no corrections) is -1057 meV per atom. The crystal system is tetragonal.

---

# 3
Compound: TlCd3O
Source: Alexandria
Functional: PBE
Structure: optimized geometry

It has space group Pm-3m (No. 221), with a = 5.4888 Å, b = 5.4888 Å, c = 5.4888 Å, α = 90.00°, β = 90.00° and γ = 90.00°. Symmetry generates all atoms from Tl at (0.0000, 0.0000, 0.0000), Cd at (0.0000, 0.0000, 0.5000) and O at (0.5000, 0.5000, 0.5000).

Its density is 5.60 Mg/m³. As for the density of states at the Fermi level: 3.45 states/eV/atom. The formation energy (no corrections) is 755 meV per atom. The crystal system is cubic. The relative energy among the computed polymorphs comes out at 868 meV per atom.

---

# 4
Compound: TlCd2O
Source: Alexandria
Functional: PBE
Structure: optimized geometry

It has space group R-3m (No. 166, hexagonal axes), with a = 3.4372 Å, b = 3.4372 Å, c = 25.3907 Å, α = 90.00°, β = 90.00° and γ = 120.00°. Symmetry generates all atoms from Tl at (0.0000, 0.0000, 0.0000), Cd at (0.0000, 0.0000, 0.1124) and O at (0.0000, 0.0000, 0.5000).

Its density is 8.54 Mg/m³. As for the density of states at the Fermi level: 0.48 states/eV/atom. The formation energy (no corrections) is -341 meV per atom. The crystal system is trigonal. The relative energy among the computed polymorphs comes out at 0 meV per atom.

---

# 5
Compound: TlCd5O6
Source: Alexandria
Functional: PBE
Structure: optimized geometry

It has space group C2/m (No. 12), with a = 5.9290 Å, b = 10.2511 Å, c = 5.9266 Å, α = 90.00°, β = 109.68° and γ = 90.00°. Symmetry generates all atoms from Tl at (0.0000, 0.0000, 0.0000), Cd at (0.0000, 0.1669, 0.5000), Cd at (0.0000, 0.3335, 0.0000), Cd at (0.0000, 0.5000, 0.5000), O at (0.2446, 0.3303, 0.7488) and O at (0.2459, 0.5000, 0.2573).

Its density is 8.44 Mg/m³. As for the density of states at the Fermi level: 0.19 states/eV/atom. The formation energy (no corrections) is -917 meV per atom. The crystal system is monoclinic.

---

# 6
Compound: Tl12Cd3O5
Source: Alexandria
Functional: PBE
Structure: optimized geometry

It has space group Ia-3d (No. 230), with a = 16.3629 Å, b = 16.3629 Å, c = 16.3629 Å, α = 90.00°, β = 90.00° and γ = 90.00°. Symmetry generates all atoms from Tl at (0.0328, 0.0576, 0.6498), Cd at (0.0000, 0.2500, 0.1250), O at (0.0000, 0.0000, 0.0000) and O at (0.0000, 0.2500, 0.3750).

Its density is 8.70 Mg/m³. As for the density of states at the Fermi level: 0.59 states/eV/atom. The formation energy (no corrections) is -236 meV per atom. The crystal system is cubic.

---

# 7
Compound: TlCd3O
Source: Alexandria
Functional: PBE
Structure: optimized geometry

It has space group Pm-3m (No. 221), with a = 4.7704 Å, b = 4.7704 Å, c = 4.7704 Å, α = 90.00°, β = 90.00° and γ = 90.00°. Symmetry generates all atoms from Tl at (0.0000, 0.0000, 0.0000), Cd at (0.0000, 0.5000, 0.5000) and O at (0.5000, 0.5000, 0.5000).

Its density is 8.53 Mg/m³. As for the density of states at the Fermi level: 0.41 states/eV/atom. The formation energy (no corrections) is -113 meV per atom. The crystal system is cubic. The relative energy among the computed polymorphs comes out at 0 meV per atom.

---

# 8
Compound: TlCd6O8
Source: Alexandria
Functional: PBE
Structure: optimized geometry

It has space group Fm-3m (No. 225), with a = 9.5475 Å, b = 9.5475 Å, c = 9.5475 Å, α = 90.00°, β = 90.00° and γ = 90.00°. Symmetry generates all atoms from Tl at (0.0000, 0.0000, 0.0000), Cd at (0.0000, 0.2500, 0.2500), O at (0.0000, 0.0000, 0.2372) and O at (0.2500, 0.2500, 0.2500).

Its density is 7.68 Mg/m³. As for the density of states at the Fermi level: 0.68 states/eV/atom. The formation energy (no corrections) is -846 meV per atom. The crystal system is cubic.